Here is crystalline ErTlAgTe3 at its relaxed geometry from Alexandria via LeMat-Bulk. Energies are from PBE.

Calculated values
- SG: Cmcm (63)
- ΔE_f (raw): -0.666 eV per atom
- Calculated total energy: -3.866 eV per atom
- Spin magnetization: 0.0 μB per formula unit

a b c (Å): 8.1131 8.1131 11.3904
angles (deg): 90.00 90.00 149.83
Last column: nearest neighbours and their distance in Å.
Fractional positions:
Er1 0.0000 0.0000 0.0000  6 Te 3.06-3.12
Er2 0.0000 0.0000 0.5000  6 Te 3.06-3.12
Tl1 0.2379 0.7621 0.7500  8 Te 3.50-3.91, 2 Ag 3.79
Tl2 0.7621 0.2379 0.2500  8 Te 3.50-3.91, 2 Ag 3.79
Ag1 0.4632 0.5368 0.2500  4 Te 2.79-2.81
Ag2 0.5368 0.4632 0.7500  4 Te 2.79-2.81
Te1 0.0812 0.9188 0.2500  2 Ag 2.81, 2 Er 3.12
Te2 0.3628 0.6372 0.0474  1 Ag 2.79, 2 Er 3.06
Te3 0.3628 0.6372 0.4526  1 Ag 2.79, 2 Er 3.06
Te4 0.6372 0.3628 0.5474  1 Ag 2.79, 2 Er 3.06
Te5 0.6372 0.3628 0.9526  1 Ag 2.79, 2 Er 3.06
Te6 0.9188 0.0812 0.7500  2 Ag 2.81, 2 Er 3.12